Record 1
! BaTl2InRu PBE optimized geometry; values from VASP
! Total magnetization: 0.0 μB/cell
! Total DFT energy (no corrections): -3.86 eV/atom
! N(E_F): 0.870 states/eV/atom
&SYSTEM
  ibrav = 0, nat = 5, ntyp = 4
/
ATOMIC_SPECIES
Tl 204.38 Tl.upf
In 114.82 In.upf
Ba 137.33 Ba.upf
Ru 101.07 Ru.upf
ATOMIC_POSITIONS crystal
Tl 0.5000 0.0000 0.0000
Tl 0.0000 0.5000 0.0000
In 0.0000 0.0000 0.5000
Ba 0.5000 0.5000 0.5000
Ru 0.0000 0.0000 0.0000
CELL_PARAMETERS angstrom
5.3308 0.0000 0.0000
0.0000 5.3308 0.0000
0.0000 0.0000 5.2265

---

Record 2
! HfPaNb2N4 PBE optimized geometry; values from VASP
! Total magnetization: 0.0 μB/cell
! Total DFT energy (no corrections): -10.46 eV/atom
! N(E_F): 0.336 states/eV/atom
&SYSTEM
  ibrav = 0, nat = 8, ntyp = 4
/
ATOMIC_SPECIES
N 14.01 N.upf
Nb 92.91 Nb.upf
Hf 178.49 Hf.upf
Pa 231.04 Pa.upf
ATOMIC_POSITIONS crystal
N 0.5000 0.7458 0.2667
N 0.0000 0.2411 0.2700
N 0.5000 0.2542 0.7333
N 0.0000 0.7589 0.7300
Nb 0.0000 0.0000 0.0000
Nb 0.5000 0.0000 0.5000
Hf 0.0000 0.5000 0.5000
Pa 0.5000 0.5000 0.0000
CELL_PARAMETERS angstrom
-1.5157 0.8071 -2.7974
1.7847 -4.6283 -2.3023
-3.8496 -4.1962 0.8751